Below is crystalline Ca2ZrV at its relaxed geometry, with properties calculated at the PBE level.

Values from the calculation:
- Mass density: 3.4 g cm⁻³
- VASP energy: -74.3 eV for the cell shown
- Formation energy: 0.78 eV per atom

The structure in CIF format:
```
data_Ca2ZrV
_cell_length_a 7.586
_cell_length_b 7.586
_cell_length_c 7.586
_cell_angle_alpha 90.00
_cell_angle_beta 90.00
_cell_angle_gamma 90.00
_space_group_name_H-M_alt 'F m -3 m'
_space_group_IT_number 225
_space_group_name_Hall '-F 4 2 3'
loop_
_atom_site_label
_atom_site_type_symbol
_atom_site_fract_x
_atom_site_fract_y
_atom_site_fract_z
Ca1 Ca 0.250 0.250 0.250
Zr1 Zr 0.000 0.000 0.000
V1 V 0.000 0.000 0.500
```